# Al2PdI

Al2PdI at its PBEsol-relaxed geometry (meta-GGA SCAN, the Alexandria database).

Calculated values
D(E_F)   2.15 states/eV/cell
Symmetry   No. 225
Energy relative to the elements, uncorrected   2.08 eV per formula unit
Polymorph energy (0 for the lowest one)   2.31 eV/f.u.
Calculated density   6.0 Mg/m³

a = 4.814 Å, b = 4.814 Å, c = 4.814 Å
α = 60.00°, β = 60.00°, γ = 60.00°
Positions (direct):
Al 0.250 0.250 0.250
Al 0.750 0.750 0.750
Pd 0.000 0.000 0.000
I 0.500 0.500 0.500


# LuMnO3

LuMnO3 at its PBEsol-relaxed geometry (meta-GGA SCAN, the Alexandria database).

Calculated values
D(E_F)   0.95 states/eV/cell
Symmetry   No. 185
Energy relative to the elements, uncorrected   -15.88 eV per formula unit
Calculated density   7.9 Mg/m³

a = 5.980 Å, b = 5.980 Å, c = 11.253 Å
α = 90.00°, β = 90.00°, γ = 120.00°
Positions (direct):
Mn 0.000 0.333 0.999
Mn 0.667 0.000 0.499
Mn 0.333 0.000 0.999
Mn 0.000 0.667 0.499
Mn 0.333 0.333 0.499
Mn 0.667 0.667 0.999
O 0.304 0.304 0.334
O 0.000 0.362 0.165
O 0.000 0.000 0.024
O 0.667 0.333 0.478
O 0.638 0.638 0.165
O 0.638 0.000 0.665
O 0.000 0.304 0.834
O 0.304 0.000 0.834
O 0.667 0.333 0.978
O 0.000 0.638 0.665
O 0.696 0.696 0.834
O 0.000 0.000 0.524
O 0.333 0.667 0.478
O 0.000 0.696 0.334
O 0.362 0.362 0.665
O 0.362 0.000 0.165
O 0.333 0.667 0.978
O 0.696 0.000 0.334
Lu 0.333 0.667 0.769
Lu 0.667 0.333 0.769
Lu 0.333 0.667 0.269
Lu 0.000 0.000 0.223
Lu 0.000 0.000 0.723
Lu 0.667 0.333 0.269


# Ba3SrSb

Ba3SrSb at its PBEsol-relaxed geometry (meta-GGA SCAN, the Alexandria database).

Calculated values
D(E_F)   4.90 states/eV/cell
Symmetry   No. 221
Energy relative to the elements, uncorrected   2.82 eV per formula unit
Calculated density   4.2 Mg/m³

a = 6.275 Å, b = 6.275 Å, c = 6.275 Å
α = 90.00°, β = 90.00°, γ = 90.00°
Positions (direct):
Sr 0.000 0.000 0.000
Ba 0.000 0.500 0.000
Ba 0.500 0.000 0.000
Ba 0.000 0.000 0.500
Sb 0.500 0.500 0.500


# K2LiTa

K2LiTa at its PBEsol-relaxed geometry (meta-GGA SCAN, the Alexandria database).

Calculated values
D(E_F)   2.04 states/eV/cell
Symmetry   No. 139
Formation energy   1.4137 eV/atom
Polymorph energy (0 for the lowest one)   1.71 eV/f.u.
Calculated density   3.4 Mg/m³

a = 4.780 Å, b = 4.780 Å, c = 6.625 Å
α = 111.14°, β = 111.14°, γ = 90.00°
Positions (direct):
Ta 0.000 0.000 0.000
K 0.750 0.250 0.500
K 0.250 0.750 0.500
Li 0.500 0.500 0.000


# BaPtPb

BaPtPb at its PBEsol-relaxed geometry (meta-GGA SCAN, the Alexandria database).

Calculated values
D(E_F)   1.97 states/eV/cell
Symmetry   No. 187
Formation energy   -0.7231 eV/atom
Calculated density   10.2 Mg/m³

a = 4.440 Å, b = 4.775 Å, c = 4.775 Å
α = 120.00°, β = 90.00°, γ = 90.00°
Positions (direct):
Ba 0.500 0.000 0.000
Pt 0.000 0.667 0.333
Pb 0.000 0.333 0.667


# Si2TcAg

Si2TcAg at its PBEsol-relaxed geometry (meta-GGA SCAN, the Alexandria database).

Calculated values
D(E_F)   0.78 states/eV/cell
Symmetry   No. 99
Energy relative to the elements, uncorrected   -0.15 eV per formula unit
Polymorph energy (0 for the lowest one)   0.00 eV/f.u.
Calculated density   7.7 Mg/m³

a = 3.286 Å, b = 3.286 Å, c = 5.230 Å
α = 90.00°, β = 90.00°, γ = 90.00°
Positions (direct):
Si 0.000 0.000 0.990
Si 0.500 0.500 0.275
Tc 0.000 0.000 0.450
Ag 0.500 0.500 0.785


# Li4ZrSe

Li4ZrSe at its PBEsol-relaxed geometry (meta-GGA SCAN, the Alexandria database).

Calculated values
D(E_F)   2.96 states/eV/cell
Symmetry   No. 216
Energy relative to the elements, uncorrected   0.48 eV per formula unit
Calculated density   3.2 Mg/m³

a = 5.259 Å, b = 5.259 Å, c = 5.259 Å
α = 60.00°, β = 60.00°, γ = 60.00°
Positions (direct):
Li 0.376 0.376 0.873
Li 0.873 0.376 0.376
Li 0.376 0.873 0.376
Li 0.376 0.376 0.376
Zr 0.000 0.000 0.000
Se 0.750 0.750 0.750


# Sc2NiIr

Sc2NiIr at its PBEsol-relaxed geometry (meta-GGA SCAN, the Alexandria database).

Calculated values
D(E_F)   2.09 states/eV/cell
Symmetry   No. 225
Formation energy   -0.9288 eV/atom
Polymorph energy (0 for the lowest one)   0.00 eV/f.u.
Calculated density   8.9 Mg/m³

a = 4.473 Å, b = 4.473 Å, c = 4.473 Å
α = 60.00°, β = 60.00°, γ = 60.00°
Positions (direct):
Sc 0.750 0.750 0.750
Sc 0.250 0.250 0.250
Ni 0.000 0.000 0.000
Ir 0.500 0.500 0.500


# MnAl2Co

MnAl2Co at its PBEsol-relaxed geometry (meta-GGA SCAN, the Alexandria database).

Calculated values
D(E_F)   1.54 states/eV/cell
Symmetry   No. 123
Formation energy   -0.5356 eV/atom
Calculated density   5.9 Mg/m³

a = 2.804 Å, b = 2.804 Å, c = 6.043 Å
α = 90.00°, β = 90.00°, γ = 90.00°
Positions (direct):
Co 0.500 0.500 0.000
Al 0.000 0.000 0.765
Al 0.000 0.000 0.235
Mn 0.500 0.500 0.500


# SrSc2PSe

SrSc2PSe at its PBEsol-relaxed geometry (meta-GGA SCAN, the Alexandria database).

Calculated values
D(E_F)   5.95 states/eV/cell
Symmetry   No. 123
Energy relative to the elements, uncorrected   6.13 eV per formula unit
Calculated density   3.1 Mg/m³

a = 5.121 Å, b = 5.444 Å, c = 5.444 Å
α = 90.00°, β = 90.00°, γ = 90.00°
Positions (direct):
Se 0.500 0.000 0.000
P 0.500 0.500 0.500
Sc 0.000 0.500 0.000
Sc 0.000 0.000 0.500
Sr 0.000 0.000 0.000


# CaAgW2

CaAgW2 at its PBEsol-relaxed geometry (meta-GGA SCAN, the Alexandria database).

Calculated values
D(E_F)   2.74 states/eV/cell
Symmetry   No. 123
Formation energy   0.8594 eV/atom
Polymorph energy (0 for the lowest one)   1.32 eV/f.u.
Calculated density   11.8 Mg/m³

a = 3.825 Å, b = 3.825 Å, c = 4.957 Å
α = 90.00°, β = 90.00°, γ = 90.00°
Positions (direct):
W 0.500 0.000 0.000
W 0.000 0.500 0.000
Ag 0.500 0.500 0.500
Ca 0.000 0.000 0.500


# K2BeS2

K2BeS2 at its PBEsol-relaxed geometry (meta-GGA SCAN, the Alexandria database).

Calculated values
D(E_F)   0.00 states/eV/cell
Symmetry   No. 139
Energy relative to the elements, uncorrected   -5.95 eV per formula unit
Calculated density   1.3 Mg/m³

a = 6.001 Å, b = 6.001 Å, c = 7.011 Å
α = 115.34°, β = 115.34°, γ = 90.00°
Positions (direct):
S 0.832 0.832 0.664
S 0.168 0.168 0.336
K 0.750 0.250 0.500
K 0.250 0.750 0.500
Be 0.000 0.000 0.000


# CaTePS2

CaTePS2 at its PBEsol-relaxed geometry (meta-GGA SCAN, the Alexandria database).

Calculated values
D(E_F)   2.50 states/eV/cell
Symmetry   No. 123
Energy relative to the elements, uncorrected   -0.74 eV per formula unit
Calculated density   3.5 Mg/m³

a = 5.046 Å, b = 4.998 Å, c = 4.998 Å
α = 90.00°, β = 90.00°, γ = 90.00°
Positions (direct):
Te 0.000 0.000 0.000
Ca 0.500 0.500 0.500
P 0.500 0.000 0.000
S 0.000 0.500 0.000
S 0.000 0.000 0.500


# Tm6Al7Cu16

Tm6Al7Cu16 at its PBEsol-relaxed geometry (meta-GGA SCAN, the Alexandria database).

Calculated values
D(E_F)   14.32 states/eV/cell
Symmetry   No. 225
Formation energy   -0.4679 eV/atom
Calculated density   8.4 Mg/m³

a = 8.530 Å, b = 8.530 Å, c = 8.530 Å
α = 60.00°, β = 60.00°, γ = 60.00°
Positions (direct):
Cu 0.327 0.327 0.019
Cu 0.879 0.364 0.879
Cu 0.636 0.121 0.121
Cu 0.879 0.879 0.364
Cu 0.364 0.879 0.879
Cu 0.981 0.673 0.673
Cu 0.673 0.981 0.673
Cu 0.327 0.327 0.327
Cu 0.121 0.121 0.636
Cu 0.121 0.636 0.121
Cu 0.121 0.121 0.121
Cu 0.673 0.673 0.981
Cu 0.673 0.673 0.673
Cu 0.327 0.019 0.327
Cu 0.879 0.879 0.879
Cu 0.019 0.327 0.327
Al 0.500 0.000 0.500
Al 0.500 0.000 0.000
Al 0.500 0.500 0.000
Al 0.000 0.500 0.000
Al 0.000 0.000 0.000
Al 0.000 0.000 0.500
Al 0.000 0.500 0.500
Tm 0.289 0.711 0.289
Tm 0.711 0.289 0.711
Tm 0.289 0.289 0.711
Tm 0.711 0.289 0.289
Tm 0.289 0.711 0.711
Tm 0.711 0.711 0.289


# MgGa2Pt2

MgGa2Pt2 at its PBEsol-relaxed geometry (meta-GGA SCAN, the Alexandria database).

Calculated values
D(E_F)   1.60 states/eV/cell
Symmetry   No. 139
Formation energy   -0.7600 eV/atom
Polymorph energy (0 for the lowest one)   0.00 eV/f.u.
Calculated density   10.8 Mg/m³

a = 3.754 Å, b = 3.754 Å, c = 6.589 Å
α = 106.55°, β = 106.55°, γ = 90.00°
Positions (direct):
Ga 0.250 0.750 0.500
Ga 0.750 0.250 0.500
Pt 0.609 0.609 0.217
Pt 0.391 0.391 0.783
Mg 0.000 0.000 0.000


# ScTcAg2

ScTcAg2 at its PBEsol-relaxed geometry (meta-GGA SCAN, the Alexandria database).

Calculated values
D(E_F)   3.79 states/eV/cell
Symmetry   No. 166
Formation energy   0.4162 eV/atom
Polymorph energy (0 for the lowest one)   0.64 eV/f.u.
Calculated density   9.0 Mg/m³

a = 2.811 Å, b = 2.811 Å, c = 9.789 Å
α = 81.75°, β = 81.75°, γ = 60.00°
Positions (direct):
Ag 0.747 0.747 0.758
Ag 0.253 0.253 0.242
Sc 0.500 0.500 0.500
Tc 0.000 0.000 0.000


# CeCr2Si2C

CeCr2Si2C at its PBEsol-relaxed geometry (meta-GGA SCAN, the Alexandria database).

Calculated values
D(E_F)   5.10 states/eV/cell
Symmetry   No. 123
Energy relative to the elements, uncorrected   -2.94 eV per formula unit
Calculated density   6.4 Mg/m³

a = 3.942 Å, b = 3.942 Å, c = 5.205 Å
α = 90.00°, β = 90.00°, γ = 90.00°
Positions (direct):
Cr 0.500 0.000 0.500
Cr 0.000 0.500 0.500
Ce 0.000 0.000 0.000
C 0.000 0.000 0.500
Si 0.500 0.500 0.230
Si 0.500 0.500 0.770


# AlInCl4

AlInCl4 at its PBEsol-relaxed geometry (meta-GGA SCAN, the Alexandria database).

Calculated values
D(E_F)   0.00 states/eV/cell
Symmetry   No. 62
Energy relative to the elements, uncorrected   -8.94 eV per formula unit
Calculated density   2.8 Mg/m³

a = 6.958 Å, b = 9.403 Å, c = 10.404 Å
α = 90.00°, β = 90.00°, γ = 90.00°
Positions (direct):
In 0.750 0.232 0.208
In 0.250 0.768 0.792
In 0.750 0.268 0.708
In 0.250 0.732 0.292
Cl 0.000 0.680 0.559
Cl 0.500 0.320 0.441
Cl 0.750 0.946 0.392
Cl 0.250 0.064 0.264
Cl 0.250 0.054 0.608
Cl 0.500 0.820 0.059
Cl 0.000 0.820 0.059
Cl 0.000 0.180 0.941
Cl 0.500 0.180 0.941
Cl 0.000 0.320 0.441
Cl 0.750 0.554 0.892
Cl 0.500 0.680 0.559
Cl 0.750 0.564 0.236
Cl 0.750 0.936 0.736
Cl 0.250 0.446 0.108
Cl 0.250 0.436 0.764
Al 0.250 0.316 0.940
Al 0.750 0.816 0.560
Al 0.250 0.184 0.440
Al 0.750 0.684 0.060


# Sc2BeNi

Sc2BeNi at its PBEsol-relaxed geometry (meta-GGA SCAN, the Alexandria database).

Calculated values
D(E_F)   2.16 states/eV/cell
Symmetry   No. 123
Formation energy   -0.2985 eV/atom
Calculated density   4.3 Mg/m³

a = 3.136 Å, b = 3.136 Å, c = 6.220 Å
α = 90.00°, β = 90.00°, γ = 90.00°
Positions (direct):
Be 0.500 0.500 0.000
Ni 0.500 0.500 0.500
Sc 0.000 0.000 0.251
Sc 0.000 0.000 0.749


# CsTcI2Cl

CsTcI2Cl at its PBEsol-relaxed geometry (meta-GGA SCAN, the Alexandria database).

Calculated values
D(E_F)   4.54 states/eV/cell
Symmetry   No. 123
Energy relative to the elements, uncorrected   2.74 eV per formula unit
Calculated density   4.0 Mg/m³

a = 6.074 Å, b = 5.926 Å, c = 5.926 Å
α = 90.00°, β = 90.00°, γ = 90.00°
Positions (direct):
Tc 0.500 0.500 0.500
I 0.000 0.000 0.500
I 0.000 0.500 0.000
Cs 0.500 0.000 0.000
Cl 0.000 0.000 0.000